A.
PaF | PBE-GGA | relaxed

Unit cell a=3.6186 b=3.6186 c=3.6186 alpha=60.00 beta=60.00 gamma=60.00
With the nearest neighbours (Å) after each atom.
Fractional coordinates of all 2 atoms:
1 F 0.0000 0.0000 0.0000  6 Pa 2.56
2 Pa 0.5000 0.5000 0.5000  6 F 2.56

Theoretical density: 12.39 Mg/m³
M_tot: 1.379 μB per cell

***

B.
PaF | PBE-GGA | relaxed

Unit cell a=3.8455 b=3.8455 c=3.8455 alpha=60.00 beta=60.00 gamma=60.00
With the nearest neighbours (Å) after each atom.
Fractional coordinates of all 2 atoms:
1 F 0.0000 0.0000 0.0000  4 Pa 2.35
2 Pa 0.2500 0.2500 0.2500  4 F 2.35

Theoretical density: 10.32 Mg/m³
M_tot: 0.025 μB per cell

***

Stability verdict: B, ahead by 113 meV/atom

***

A.
ZrTlPbF7 | PBE-GGA | relaxed

Unit cell a=6.5593 b=6.5593 c=8.5910 alpha=90.00 beta=90.00 gamma=115.03
With the nearest neighbours (Å) after each atom.
Fractional coordinates of all 20 atoms:
1 F 0.2668 0.7332 0.4822  1 Zr 2.01
2 F 0.6364 0.9273 0.2500  1 Zr 2.10
3 F 0.7332 0.2668 0.9822  1 Zr 2.01
4 F 0.7332 0.2668 0.5178  1 Zr 2.01
5 F 0.0727 0.3636 0.2500  1 Zr 2.10
6 F 0.5261 0.4739 0.7500  1 Zr 2.02
7 F 0.9631 0.6985 0.2500  1 Zr 2.13
8 F 0.6985 0.9631 0.7500  1 Zr 2.13
9 F 0.4739 0.5261 0.2500  1 Zr 2.02
10 F 0.2668 0.7332 0.0178  1 Zr 2.01
11 F 0.3015 0.0369 0.2500  1 Zr 2.13
12 F 0.3636 0.0727 0.7500  1 Zr 2.10
13 F 0.9273 0.6364 0.7500  1 Zr 2.10
14 F 0.0369 0.3015 0.7500  1 Zr 2.13
15 Tl 0.0000 0.0000 0.0000  10 F 2.86-3.09
16 Tl 0.0000 0.0000 0.5000  10 F 2.86-3.09
17 Zr 0.2915 0.7085 0.2500  7 F 2.01-2.13
18 Zr 0.7085 0.2915 0.7500  7 F 2.01-2.13
19 Pb 0.6834 0.3166 0.2500  7 F 2.32-2.44
20 Pb 0.3166 0.6834 0.7500  7 F 2.32-2.44

Theoretical density: 6.31 Mg/m³
M_tot: 0.006 μB per cell

***

B.
ZrTlPbF7 | PBE-GGA | relaxed

Unit cell a=6.5690 b=8.6221 c=6.5854 alpha=90.00 beta=114.71 gamma=90.00
With the nearest neighbours (Å) after each atom.
Fractional coordinates of all 20 atoms:
1 Pb 0.6877 0.2500 0.8196  7 F 2.32-2.44
2 Pb 0.3123 0.7500 0.1804  7 F 2.32-2.44
3 Tl 0.0000 0.0000 0.5000  10 F 2.86-3.13
4 Tl 0.0000 0.5000 0.5000  10 F 2.86-3.13
5 F 0.6945 0.7500 0.4604  1 Zr 2.13
6 F 0.2737 0.4820 0.2364  1 Zr 2.02
7 F 0.3604 0.7500 0.5691  1 Zr 2.11
8 F 0.6396 0.2500 0.4309  1 Zr 2.11
9 F 0.7263 0.5180 0.7636  1 Zr 2.02
10 F 0.7263 0.9820 0.7636  1 Zr 2.02
11 F 0.9220 0.7500 0.1302  1 Zr 2.11
12 F 0.0317 0.7500 0.7980  1 Zr 2.13
13 F 0.3055 0.2500 0.5396  1 Zr 2.13
14 F 0.4791 0.2500 0.0306  1 Zr 2.02
15 F 0.0780 0.2500 0.8698  1 Zr 2.11
16 F 0.9683 0.2500 0.2020  1 Zr 2.13
17 F 0.5209 0.7500 0.9694  1 Zr 2.02
18 F 0.2737 0.0180 0.2364  1 Zr 2.02
19 Zr 0.7037 0.7500 0.7873  7 F 2.02-2.13
20 Zr 0.2963 0.2500 0.2127  7 F 2.02-2.13

Theoretical density: 6.23 Mg/m³
M_tot: 0.006 μB per cell

***

Stability verdict: B, ahead by 10 meV/atom